SbPb7 | PBE-GGA | relaxed

Cell: 7.0719 7.0719 7.0719 Å, 60.00 60.00 60.00°
Last column: nearest neighbours and their distance in Å.
Positions (direct):
Sb: 0.0000 0.0000 0.0000  12 Pb 3.54
Pb: 0.0000 0.0000 0.5000  10 Pb 3.54, 2 Sb 3.54
Pb: 0.0000 0.5000 0.0000  10 Pb 3.54, 2 Sb 3.54
Pb: 0.0000 0.5000 0.5000  10 Pb 3.54, 2 Sb 3.54
Pb: 0.5000 0.0000 0.0000  10 Pb 3.54, 2 Sb 3.54
Pb: 0.5000 0.0000 0.5000  10 Pb 3.54, 2 Sb 3.54
Pb: 0.5000 0.5000 0.0000  10 Pb 3.54, 2 Sb 3.54
Pb: 0.5000 0.5000 0.5000  12 Pb 3.54

## Properties
As for the space group: Fm-3m (225). The value obtained for the electronic total energy is -3.739 eV per atom. As for the magnetic moment: 0.000 μB/f.u.